DFT (meta-GGA SCAN) results for Cd7P4Cl6 at its PBEsol-relaxed geometry.

```
Cd7P4Cl6
1.0
-10.428 -1.469 5.494
-5.222 -2.066 -10.466
2.250 -11.604 1.168
Cd Cl P
28 24 16
Direct
0.224 0.735 0.015
0.000 0.500 0.500
0.500 0.500 0.000
0.265 0.515 0.276
0.485 0.724 0.735
0.000 0.000 0.000
0.765 0.985 0.724
0.485 0.776 0.235
0.985 0.724 0.765
0.500 0.000 0.500
0.515 0.224 0.765
0.776 0.265 0.985
0.985 0.776 0.265
0.235 0.015 0.276
0.235 0.485 0.776
0.276 0.265 0.515
0.515 0.276 0.265
0.724 0.765 0.985
0.015 0.224 0.735
0.765 0.515 0.224
0.735 0.485 0.724
0.735 0.015 0.224
0.776 0.235 0.485
0.724 0.735 0.485
0.265 0.985 0.776
0.276 0.235 0.015
0.015 0.276 0.235
0.224 0.765 0.515
0.719 0.963 0.480
0.020 0.281 0.463
0.219 0.537 0.520
0.980 0.719 0.537
0.719 0.537 0.980
0.520 0.281 0.037
0.963 0.480 0.719
0.781 0.463 0.480
0.281 0.463 0.020
0.520 0.219 0.537
0.537 0.980 0.719
0.037 0.520 0.281
0.463 0.020 0.281
0.219 0.963 0.020
0.980 0.781 0.037
0.020 0.219 0.963
0.480 0.781 0.463
0.480 0.719 0.963
0.781 0.037 0.980
0.037 0.980 0.781
0.537 0.520 0.219
0.463 0.480 0.781
0.281 0.037 0.520
0.963 0.020 0.219
0.682 0.818 0.182
0.818 0.182 0.682
0.788 0.712 0.288
0.288 0.788 0.712
0.712 0.288 0.788
0.318 0.318 0.318
0.182 0.818 0.318
0.288 0.712 0.212
0.212 0.288 0.712
0.212 0.212 0.212
0.182 0.682 0.818
0.318 0.182 0.818
0.788 0.788 0.788
0.682 0.682 0.682
0.712 0.212 0.288
0.818 0.318 0.182
```


DFT (meta-GGA SCAN) results for Cd2P3Cl at its PBEsol-relaxed geometry.

```
Cd2P3Cl
1.0
-1.281 3.508 4.686
-5.441 0.154 -2.505
-0.756 -6.584 3.508
P Cl Cd
6 2 4
Direct
0.803 0.197 0.250
0.836 0.928 0.032
0.928 0.836 0.532
0.072 0.164 0.468
0.164 0.072 0.968
0.197 0.803 0.750
0.634 0.366 0.750
0.366 0.634 0.250
0.912 0.604 0.209
0.088 0.396 0.791
0.604 0.912 0.709
0.396 0.088 0.291
```


DFT (meta-GGA SCAN) results for Cd4P2Cl3 at its PBEsol-relaxed geometry.

```
Cd4P2Cl3
1.0
12.101 0.000 0.000
0.000 12.101 0.000
0.000 0.000 12.101
Cd Cl P
32 24 16
Direct
0.473 0.015 0.749
0.778 0.778 0.778
0.473 0.485 0.249
0.027 0.985 0.249
0.751 0.527 0.515
0.985 0.249 0.027
0.527 0.515 0.751
0.485 0.251 0.973
0.751 0.973 0.015
0.515 0.751 0.527
0.973 0.015 0.751
0.749 0.027 0.515
0.015 0.751 0.973
0.278 0.778 0.722
0.222 0.278 0.722
0.485 0.249 0.473
0.527 0.985 0.251
0.722 0.278 0.778
0.027 0.515 0.749
0.278 0.722 0.222
0.251 0.527 0.985
0.251 0.973 0.485
0.249 0.473 0.485
0.749 0.473 0.015
0.249 0.027 0.985
0.778 0.722 0.278
0.015 0.749 0.473
0.973 0.485 0.251
0.222 0.222 0.222
0.515 0.749 0.027
0.722 0.222 0.278
0.985 0.251 0.527
0.313 0.930 0.268
0.570 0.768 0.313
0.813 0.930 0.232
0.187 0.430 0.268
0.232 0.687 0.430
0.313 0.570 0.768
0.768 0.313 0.570
0.187 0.070 0.768
0.930 0.268 0.313
0.687 0.430 0.232
0.768 0.187 0.070
0.070 0.768 0.187
0.430 0.268 0.187
0.732 0.687 0.070
0.268 0.313 0.930
0.687 0.070 0.732
0.732 0.813 0.570
0.813 0.570 0.732
0.930 0.232 0.813
0.070 0.732 0.687
0.268 0.187 0.430
0.570 0.732 0.813
0.232 0.813 0.930
0.430 0.232 0.687
0.052 0.552 0.948
0.448 0.052 0.948
0.552 0.552 0.552
0.604 0.396 0.896
0.104 0.396 0.604
0.948 0.448 0.052
0.948 0.052 0.552
0.052 0.948 0.448
0.396 0.604 0.104
0.104 0.104 0.104
0.552 0.948 0.052
0.396 0.896 0.604
0.896 0.604 0.396
0.448 0.448 0.448
0.604 0.104 0.396
0.896 0.896 0.896
```


DFT (meta-GGA SCAN) results for CdP2PtCl at its PBEsol-relaxed geometry.

```
CdP2PtCl
1.0
-2.324 1.875 -3.526
-3.945 -1.713 1.689
-0.671 4.162 2.655
P Cl Cd Pt
2 1 1 1
Direct
0.000 0.500 0.000
0.500 0.000 0.000
0.000 0.000 0.500
0.500 0.500 0.500
0.000 0.000 0.000
```


DFT (meta-GGA SCAN) results for CdRePCl2 at its PBEsol-relaxed geometry.

```
CdRePCl2
1.0
4.829 0.000 0.000
0.000 4.829 0.000
0.000 0.000 5.318
P Cl Cd Re
1 2 1 1
Direct
0.000 0.000 0.500
0.000 0.500 0.000
0.500 0.000 0.000
0.000 0.000 0.000
0.500 0.500 0.500
```


meta-GGA SCAN CdPS2Cl, PBEsol geometry; energy above the lowest structure with this stoichiometry = 0.0 meV per atom
1.0
4.824 0.000 0.000
0.000 4.925 0.000
0.000 0.000 4.925
Cd S P Cl
1 2 1 1
Direct
0.000 0.000 0.000
0.000 0.500 0.000
0.000 0.000 0.500
0.500 0.500 0.500
0.500 0.000 0.000


meta-GGA SCAN CdPS2Cl, PBEsol geometry; energy above the lowest structure with this stoichiometry = 243.6 meV per atom
1.0
4.778 0.000 0.000
0.000 4.778 0.000
0.000 0.000 5.227
S P Cd Cl
2 1 1 1
Direct
0.000 0.500 0.000
0.500 0.000 0.000
0.000 0.000 0.500
0.000 0.000 0.000
0.500 0.500 0.500


DFT (meta-GGA SCAN) results for TiCdPCl2 at its PBEsol-relaxed geometry.

```
TiCdPCl2
1.0
4.590 0.000 0.000
0.000 4.590 0.000
0.000 0.000 5.060
P Cl Ti Cd
1 2 1 1
Direct
0.000 0.000 0.500
0.000 0.500 0.000
0.500 0.000 0.000
0.000 0.000 0.000
0.500 0.500 0.500
```


| no. | electronic total energy (eV/f.u.) | raw formation energy (eV per atom) |
| --- | --- | --- |
| 1 | -315.4 | -0.77 |
| 2 | -102.7 | -0.45 |
| 3 | -172.9 | -0.72 |
| 4 | -127.2 | 0.43 |
| 5 | -122.3 | 1.11 |
| 6 | -64.1 | 0.79 |
| 7 | -62.9 | 1.03 |
| 8 | -76.1 | -0.66 |